Below is Cs2PmTe3 after structural relaxation, with properties calculated at the GGA-PBE level.

Values from the calculation:
ΔE_f (raw), kJ/mol of formula units: -610
Space-group type: No. 71

POSCAR file:
```
Cs2PmTe3
1.0
-2.6568 -3.3451 -0.2536
3.1566 -2.0540 -5.9773
5.4210 -2.1581 7.7796
Cs Te Pm
2 3 1
Direct
0.3177 0.8177 0.6353
0.6823 0.1823 0.3647
0.3718 0.3718 0.7437
0.6282 0.6282 0.2563
0.0000 0.0000 0.0000
0.0000 0.5000 0.0000
```



Below is RbScP3 after structural relaxation, with properties calculated at the GGA-PBE level.

Values from the calculation:
Polymorph energy (0 for the lowest one), kJ/mol of atoms: 158.4
Formation enthalpy at 0 K, eV per atom: 1.620
Space-group type: No. 221

POSCAR file:
```
RbScP3
1.0
5.1149 0.0000 0.0000
0.0000 5.1149 0.0000
0.0000 0.0000 5.1149
P Sc Rb
3 1 1
Direct
0.0000 0.0000 0.5000
0.0000 0.5000 0.0000
0.5000 0.0000 0.0000
0.5000 0.5000 0.5000
0.0000 0.0000 0.0000
```



Below is Ba2SiSb after structural relaxation, with properties calculated at the GGA-PBE level.

Values from the calculation:
Polymorph energy (0 for the lowest one), kJ/mol of atoms: 52.4
ΔE_f (raw), kJ/mol of formula units: -15
Space-group type: No. 216

POSCAR file:
```
Ba2SiSb
1.0
5.7325 0.0000 0.0000
2.8663 4.9645 0.0000
2.8663 1.6548 4.6806
Ba Sb Si
2 1 1
Direct
0.0000 0.0000 0.0000
0.2500 0.2500 0.2500
0.5000 0.5000 0.5000
0.7500 0.7500 0.7500
```



Below is Tb4Dy5Ho3 after structural relaxation, with properties calculated at the GGA-PBE level.

Values from the calculation:
Polymorph energy (0 for the lowest one), kJ/mol of atoms: 21.5
Formation enthalpy at 0 K, eV per atom: 0.239
Space-group type: No. 12

POSCAR file:
```
Tb4Dy5Ho3
1.0
-4.3631 0.9854 3.7672
1.5717 -3.9114 7.3826
-0.1132 9.3728 1.9563
Tb Ho Dy
4 3 5
Direct
0.1402 0.7785 0.9411
0.1650 0.0491 0.6209
0.8350 0.9509 0.3791
0.8598 0.2215 0.0589
0.4778 0.3129 0.7315
0.0000 0.5000 0.5000
0.5222 0.6871 0.2685
0.7864 0.5408 0.8865
0.2136 0.4592 0.1135
0.3726 0.0537 0.2010
0.5000 0.5000 0.5000
0.6274 0.9463 0.7990
```



Below is ScCoPd after structural relaxation, with properties calculated at the GGA-PBE level.

Values from the calculation:
Formation enthalpy at 0 K, eV per atom: -0.282
Space-group type: No. 187

POSCAR file:
```
ScCoPd
1.0
-0.1990 3.1529 -2.8103
-3.5482 -1.8851 1.3172
-0.2343 2.0945 2.3665
Sc Pd Co
1 1 1
Direct
0.0000 0.0000 0.5000
0.3333 0.6667 0.0000
0.6667 0.3333 0.0000
```



Below is Li2YNi after structural relaxation, with properties calculated at the GGA-PBE level.

Values from the calculation:
Polymorph energy (0 for the lowest one), kJ/mol of atoms: 31.3
Formation enthalpy at 0 K, eV per atom: 0.254
Space-group type: No. 65

POSCAR file:
```
Li2YNi
1.0
-3.6975 -1.1686 -3.5393
1.6019 -3.6796 3.3850
-2.1957 0.8854 2.0015
Li Ni Y
2 1 1
Direct
0.5000 0.5000 0.0000
0.0000 0.0000 0.0000
0.5000 0.0000 0.5000
0.0000 0.5000 0.5000
```



Below is Li2MnBiAu after structural relaxation, with properties calculated at the GGA-PBE level.

Values from the calculation:
Formation enthalpy at 0 K, eV per atom: 0.268
Space-group type: No. 123

POSCAR file:
```
Li2MnBiAu
1.0
4.6879 0.0000 0.0000
0.0000 5.6927 0.0000
0.0000 0.0000 4.6879
Mn Li Bi Au
1 2 1 1
Direct
0.5000 0.5000 0.5000
0.5000 0.0000 0.0000
0.0000 0.0000 0.5000
0.0000 0.5000 0.0000
0.0000 0.0000 0.0000
```



Below is HoRu2PbO8 after structural relaxation, with properties calculated at the GGA-PBE level.

Values from the calculation:
ΔE_f (raw), kJ/mol of formula units: -1520
Space-group type: No. 164

POSCAR file:
```
HoRu2PbO8
1.0
5.9359 0.0000 0.0000
-2.9679 5.1406 0.0000
0.0000 0.0000 7.1257
O Ho Pb Ru
8 1 1 2
Direct
0.6667 0.3333 0.9698
0.8377 0.6743 0.2914
0.1634 0.8377 0.7086
0.3257 0.1634 0.2914
0.6743 0.8366 0.7086
0.1623 0.3257 0.7086
0.8366 0.1623 0.2914
0.3333 0.6667 0.0302
0.0000 0.0000 0.5000
0.0000 0.0000 0.0000
0.3333 0.6667 0.7822
0.6667 0.3333 0.2178
```



Below is CaTbEuSc after structural relaxation, with properties calculated at the GGA-PBE level.

Values from the calculation:
Formation enthalpy at 0 K, eV per atom: 0.197
Space-group type: No. 216

POSCAR file:
```
CaTbEuSc
1.0
5.7242 0.0000 0.0000
2.8621 4.9573 0.0000
2.8621 1.6524 4.6738
Sc Ca Eu Tb
1 1 1 1
Direct
0.0000 0.0000 0.0000
0.7500 0.7500 0.7500
0.5000 0.5000 0.5000
0.2500 0.2500 0.2500
```



Below is CsPbCl6 after structural relaxation, with properties calculated at the GGA-PBE level.

Values from the calculation:
ΔE_f (raw), kJ/mol of formula units: -626
Space-group type: No. 166

POSCAR file:
```
CsPbCl6
1.0
6.5775 -0.1408 -0.1593
-0.8584 6.5227 -0.1593
-0.8584 -0.9578 6.4540
Cl Cs Pb
6 1 1
Direct
0.7808 0.4245 0.7808
0.5755 0.2192 0.2192
0.2192 0.2192 0.5755
0.2192 0.5755 0.2192
0.7808 0.7808 0.4245
0.4245 0.7808 0.7808
0.0000 0.0000 0.0000
0.5000 0.5000 0.5000
```



Below is TaAsCl after structural relaxation, with properties calculated at the GGA-PBE level.

Values from the calculation:
Polymorph energy (0 for the lowest one), kJ/mol of atoms: 105.8
ΔE_f (raw), kJ/mol of formula units: 199
Space-group type: No. 216

POSCAR file:
```
TaAsCl
1.0
4.5053 0.0000 0.0000
2.2526 3.9017 0.0000
2.2526 1.3006 3.6786
Ta As Cl
1 1 1
Direct
0.5000 0.5000 0.5000
0.2500 0.2500 0.2500
0.0000 0.0000 0.0000
```



Below is AcCeScTl after structural relaxation, with properties calculated at the GGA-PBE level.

Values from the calculation:
Formation enthalpy at 0 K, eV per atom: 0.079
Space-group type: No. 216

POSCAR file:
```
AcCeScTl
1.0
5.5061 0.0000 0.0000
2.7530 4.7684 0.0000
2.7530 1.5895 4.4957
Ce Sc Ac Tl
1 1 1 1
Direct
0.5000 0.5000 0.5000
0.0000 0.0000 0.0000
0.2500 0.2500 0.2500
0.7500 0.7500 0.7500
```



Below is CdHg2Ge after structural relaxation, with properties calculated at the GGA-PBE level.

Values from the calculation:
Polymorph energy (0 for the lowest one), kJ/mol of atoms: 2.3
Formation enthalpy at 0 K, eV per atom: 0.178
Space-group type: No. 122

POSCAR file:
```
CdHg2Ge
1.0
4.2994 0.0000 0.0000
0.0000 4.2994 0.0000
2.1497 2.1497 10.4709
Hg Cd Ge
4 2 2
Direct
0.1283 0.6250 0.2500
0.6217 0.1250 0.2500
0.8750 0.8717 0.7500
0.3750 0.3783 0.7500
0.7500 0.2500 0.5000
0.0000 0.0000 0.0000
0.5000 0.5000 0.0000
0.2500 0.7500 0.5000
```



Below is Eu3Fe5Se12 after structural relaxation, with properties calculated at the GGA-PBE level.

Values from the calculation:
ΔE_f (raw), kJ/mol of formula units: -1347
Space-group type: No. 230

POSCAR file:
```
Eu3Fe5Se12
1.0
13.5643 0.0000 0.0000
-4.5214 12.7885 0.0000
-4.5214 -6.3943 11.0752
Se Fe Eu
48 20 12
Direct
0.3880 0.9780 0.7966
0.8186 0.9086 0.2966
0.2034 0.6814 0.0914
0.0220 0.6120 0.7034
0.5220 0.3186 0.9100
0.1120 0.4086 0.0900
0.8186 0.9100 0.0220
0.0900 0.1814 0.4780
0.1814 0.0914 0.7034
0.3186 0.7966 0.4086
0.8880 0.2966 0.4780
0.4100 0.0220 0.3186
0.0914 0.9100 0.3880
0.0914 0.1814 0.2034
0.2966 0.4086 0.8186
0.3186 0.5220 0.4100
0.0900 0.9086 0.1120
0.6120 0.5900 0.9086
0.0220 0.4100 0.8186
0.9100 0.8186 0.5220
0.7034 0.1120 0.0220
0.5914 0.7034 0.6814
0.5220 0.2034 0.1120
0.5900 0.9780 0.6814
0.3880 0.4100 0.0914
0.5914 0.8880 0.4100
0.6814 0.2034 0.5914
0.8880 0.5914 0.9100
0.5900 0.6120 0.4086
0.2034 0.5220 0.6120
0.7034 0.5914 0.1814
0.9100 0.0914 0.8880
0.4086 0.2966 0.3186
0.9780 0.5900 0.1814
0.9086 0.8186 0.7966
0.6814 0.4780 0.5900
0.7966 0.4780 0.3880
0.4780 0.7966 0.8880
0.9086 0.0900 0.6120
0.1120 0.7034 0.5220
0.6120 0.0220 0.2034
0.4100 0.3880 0.5914
0.4086 0.1120 0.5900
0.4780 0.6814 0.0900
0.7966 0.3186 0.9086
0.9780 0.3880 0.2966
0.2966 0.8880 0.9780
0.1814 0.0900 0.9780
0.8750 0.6250 0.7500
0.2500 0.8750 0.1250
0.5000 0.5000 0.5000
0.3750 0.1250 0.7500
0.1250 0.3750 0.2500
0.8750 0.2500 0.6250
0.1250 0.7500 0.3750
0.6250 0.8750 0.2500
0.5000 0.5000 0.0000
0.0000 0.0000 0.5000
0.0000 0.5000 0.5000
0.2500 0.3750 0.6250
0.6250 0.7500 0.8750
0.0000 0.5000 0.0000
0.7500 0.6250 0.3750
0.0000 0.0000 0.0000
0.7500 0.1250 0.8750
0.3750 0.2500 0.1250
0.5000 0.0000 0.0000
0.5000 0.0000 0.5000
0.1250 0.8750 0.7500
0.7500 0.8750 0.6250
0.8750 0.1250 0.2500
0.3750 0.6250 0.2500
0.8750 0.7500 0.1250
0.7500 0.3750 0.1250
0.6250 0.3750 0.7500
0.2500 0.6250 0.8750
0.1250 0.2500 0.8750
0.3750 0.7500 0.6250
0.6250 0.2500 0.3750
0.2500 0.1250 0.3750
```



Below is HoRe6 after structural relaxation, with properties calculated at the GGA-PBE level.

Values from the calculation:
Polymorph energy (0 for the lowest one), kJ/mol of atoms: 0.0
Formation enthalpy at 0 K, eV per atom: 0.024
Space-group type: No. 62

POSCAR file:
```
HoRe6
1.0
-1.2167 -4.2741 2.7463
8.0893 -0.7210 2.4618
-2.0891 6.1658 8.6704
Re Ho
24 4
Direct
0.5085 0.5726 0.8070
0.9915 0.5726 0.8070
0.7500 0.8601 0.8497
0.2500 0.0828 0.9184
0.4915 0.9274 0.3070
0.7500 0.5827 0.0215
0.9915 0.0726 0.6930
0.7500 0.9172 0.0816
0.2500 0.4173 0.9785
0.0085 0.4274 0.1930
0.2500 0.3185 0.7433
0.2500 0.6399 0.3497
0.2500 0.5828 0.5816
0.7500 0.6815 0.2567
0.7500 0.0827 0.4785
0.0085 0.9274 0.3070
0.4915 0.4274 0.1930
0.7500 0.1815 0.2433
0.7500 0.3601 0.6503
0.5085 0.0726 0.6930
0.2500 0.8185 0.7567
0.7500 0.4172 0.4184
0.2500 0.9173 0.5215
0.2500 0.1399 0.1503
0.7500 0.7324 0.5563
0.2500 0.2676 0.4437
0.7500 0.2324 0.9437
0.2500 0.7676 0.0563
```



Below is La8Tb4Y after structural relaxation, with properties calculated at the GGA-PBE level.

Values from the calculation:
Formation enthalpy at 0 K, eV per atom: 0.420
Space-group type: No. 166

POSCAR file:
```
La8Tb4Y
1.0
-2.4581 10.9241 -1.8446
5.9837 -5.8432 -7.6703
-4.2104 -6.5534 1.7077
Tb La Y
4 8 1
Direct
0.5000 0.5000 0.0000
0.5000 0.0000 0.0000
0.0000 0.0000 0.0000
0.0000 0.5000 0.0000
0.9914 0.7556 0.2272
0.0086 0.7642 0.7728
0.5284 0.7642 0.7728
0.4716 0.2358 0.2272
0.9914 0.2358 0.2272
0.0086 0.2444 0.7728
0.5268 0.7634 0.2902
0.4732 0.2366 0.7098
0.0000 0.5000 0.5000
```



Below is InRuIN2 after structural relaxation, with properties calculated at the GGA-PBE level.

Values from the calculation:
Polymorph energy (0 for the lowest one), kJ/mol of atoms: 88.2
ΔE_f (raw), kJ/mol of formula units: 943
Space-group type: No. 123

POSCAR file:
```
InRuIN2
1.0
-3.0197 -2.7771 -0.0916
0.3392 -0.2342 -4.0828
4.2611 -4.6539 0.6209
N Ru In I
2 1 1 1
Direct
0.5000 0.0000 0.0000
0.0000 0.5000 0.0000
0.5000 0.5000 0.5000
0.0000 0.0000 0.0000
0.0000 0.0000 0.5000
```



Below is Ac3PuSi7 after structural relaxation, with properties calculated at the GGA-PBE level.

Values from the calculation:
ΔE_f (raw), kJ/mol of formula units: -568
Space-group type: No. 63

POSCAR file:
```
Ac3PuSi7
1.0
4.4080 0.0000 0.0000
-2.2040 9.7777 0.0000
0.0000 0.0000 11.9884
Si Ac Pu
14 6 2
Direct
0.5141 0.0282 0.9033
0.7308 0.4617 0.9681
0.3655 0.7310 0.1511
0.7308 0.4617 0.5319
0.2692 0.5383 0.0319
0.6345 0.2690 0.6511
0.2692 0.5383 0.4681
0.4859 0.9718 0.0967
0.6345 0.2690 0.8489
0.4310 0.8620 0.7500
0.3655 0.7310 0.3489
0.5690 0.1380 0.2500
0.5141 0.0282 0.5967
0.4859 0.9718 0.4033
0.8949 0.7897 0.9497
0.1051 0.2103 0.0503
0.1051 0.2103 0.4497
0.8949 0.7897 0.5503
0.7518 0.5036 0.2500
0.2482 0.4964 0.7500
0.0492 0.0984 0.7500
0.9508 0.9016 0.2500
```



Below is La2NdYH after structural relaxation, with properties calculated at the GGA-PBE level.

Values from the calculation:
E, eV per atom: -5.07
Space-group type: No. 123

POSCAR file:
```
La2NdYH
1.0
5.1241 0.0000 0.0000
0.0000 5.2310 0.0000
0.0000 0.0000 5.2310
Nd La H Y
1 2 1 1
Direct
0.5000 0.5000 0.5000
0.0000 0.0000 0.5000
0.0000 0.5000 0.0000
0.0000 0.0000 0.0000
0.5000 0.0000 0.0000
```



Below is KSrRh3 after structural relaxation, with properties calculated at the GGA-PBE level.

Values from the calculation:
Polymorph energy (0 for the lowest one), kJ/mol of atoms: 3.2
Formation enthalpy at 0 K, eV per atom: 1.436
Space-group type: No. 221

POSCAR file:
```
KSrRh3
1.0
-3.3308 -3.0875 1.9597
3.2813 -1.3532 3.4452
-1.6143 3.6199 2.9594
Rh K Sr
3 1 1
Direct
0.0000 0.5000 0.0000
0.0000 0.0000 0.5000
0.5000 0.0000 0.0000
0.0000 0.0000 0.0000
0.5000 0.5000 0.5000
```